First-principles (PBE) data for PrOsPb2O8 after structural relaxation, as listed in Alexandria via LeMat-Bulk.

Cell lengths 5.214, 6.898, 5.230 Å; angles 90.00, 91.28, 90.00 degrees
Space group P2/m (No. 10)
Unique sites:
1 Pr 0.000 0.000 0.000 x1
2 Os 0.000 0.500 0.000 x1
3 Pb 0.500 0.254 0.500 x2
4 O 0.172 0.294 0.189 x4
5 O 0.260 0.500 0.765 x2
6 O 0.322 0.000 0.691 x2

Values from the calculation:
Total energy = -79.821 eV/f.u.
Formation energy (no corrections) = -1.39 eV/atom